No. 1
Entry from Alexandria: crystalline Li2Ge2O at its relaxed geometry (PBE).

Summary:
As for the uncorrected formation energy: -0.24 eV/atom. The space group is P4/mbm (127). The distance to the lowest polymorph of the same formula comes out at 0 meV per atom. The calculation puts the density at 3.69 g cm⁻³. As for the calculated volume: 15.761 Å³ per atom.

Unit cell a=5.984 b=5.984 c=4.401 alpha=90.00 beta=90.00 gamma=90.00
Element x y z (fractional)
Li  0.152  0.348  0.000
Li  0.348  0.848  0.000
Li  0.652  0.152  0.000
Li  0.848  0.652  0.000
Ge  0.163  0.663  0.500
Ge  0.337  0.163  0.500
Ge  0.663  0.837  0.500
Ge  0.837  0.337  0.500
O  0.000  0.000  0.500
O  0.500  0.500  0.500

***

No. 2
Entry from Alexandria: crystalline La2YHo6Er3 at its relaxed geometry (PBE).

Summary:
The space group is C2/m (12). For the formation energy, the calculation gives 0.03 eV per atom. The calculation puts the density at 8.05 g cm⁻³. As for the calculated volume: 31.931 Å³ per atom.

Unit cell a=6.172 b=6.172 c=11.793 alpha=95.00 beta=95.00 gamma=119.98
Element x y z (fractional)
La  0.167  0.833  0.000
La  0.833  0.167  0.000
Y  0.500  0.500  0.000
Ho  0.082  0.414  0.745
Ho  0.253  0.253  0.256
Ho  0.414  0.082  0.745
Ho  0.586  0.918  0.255
Ho  0.747  0.747  0.744
Ho  0.918  0.586  0.255
Er  0.000  0.000  0.500
Er  0.334  0.666  0.500
Er  0.666  0.334  0.500

***

No. 3
Entry from Alexandria: crystalline NbVN2 at its relaxed geometry (PBE).

Summary:
As for the uncorrected formation energy: -0.94 eV/atom. The space group is R3m (160). The calculation puts the density at 7.21 g cm⁻³. As for the calculated volume: 9.891 Å³ per atom.

Unit cell a=5.758 b=5.758 c=5.758 alpha=28.95 beta=28.95 gamma=28.95
Element x y z (fractional)
Nb  0.000  0.000  0.000
V  0.169  0.169  0.169
N  0.425  0.425  0.425
N  0.577  0.577  0.577

***

No. 4
Entry from Alexandria: crystalline BaHfZn2Hg at its relaxed geometry (PBE).

Summary:
The space group is P4/mmm (123). For the formation energy, the calculation gives 0.49 eV per atom. The calculation puts the density at 7.45 g cm⁻³. As for the calculated volume: 28.837 Å³ per atom.

Unit cell a=5.084 b=5.084 c=5.579 alpha=90.00 beta=90.00 gamma=90.00
Element x y z (fractional)
Ba  0.000  0.000  0.000
Hf  0.500  0.500  0.000
Zn  0.000  0.500  0.500
Zn  0.500  0.000  0.500
Hg  0.500  0.500  0.500

***

No. 5
Entry from Alexandria: crystalline Cs4K3ZnF8 at its relaxed geometry (PBE).

Summary:
As for the uncorrected formation energy: -2.41 eV/atom. The space group is C2/m (12). The calculation puts the density at 3.82 g cm⁻³. As for the calculated volume: 23.517 Å³ per atom.

Unit cell a=8.160 b=8.160 c=8.047 alpha=119.39 beta=119.39 gamma=58.06
Element x y z (fractional)
Cs  0.000  0.000  0.000
Cs  0.000  0.500  0.500
Cs  0.500  0.000  0.500
Cs  0.500  0.500  0.000
K  0.000  0.000  0.500
K  0.000  0.500  0.000
K  0.500  0.000  0.000
Zn  0.500  0.500  0.500
F  0.240  0.240  0.217
F  0.241  0.241  0.762
F  0.260  0.725  0.279
F  0.275  0.740  0.721
F  0.725  0.260  0.279
F  0.740  0.275  0.721
F  0.759  0.759  0.238
F  0.760  0.760  0.783

***

No. 6
Entry from Alexandria: crystalline YCuNi5 at its relaxed geometry (PBE).

Summary:
The space group is Pnma (62). For the formation energy, the calculation gives -0.21 eV per atom. The calculation puts the density at 7.92 g cm⁻³. As for the calculated volume: 13.359 Å³ per atom.

Unit cell a=7.830 b=4.826 c=9.898 alpha=90.00 beta=90.00 gamma=90.00
Element x y z (fractional)
Y  0.241  0.250  0.060
Y  0.259  0.750  0.560
Y  0.741  0.250  0.440
Y  0.759  0.750  0.940
Cu  0.142  0.750  0.856
Cu  0.358  0.250  0.356
Cu  0.642  0.750  0.644
Cu  0.858  0.250  0.144
Ni  0.058  0.750  0.098
Ni  0.068  0.005  0.310
Ni  0.068  0.495  0.310
Ni  0.100  0.250  0.519
Ni  0.184  0.250  0.753
Ni  0.316  0.750  0.253
Ni  0.400  0.750  0.019
Ni  0.432  0.505  0.810
Ni  0.432  0.995  0.810
Ni  0.442  0.250  0.598
Ni  0.558  0.750  0.402
Ni  0.568  0.005  0.190
Ni  0.568  0.495  0.190
Ni  0.600  0.250  0.981
Ni  0.684  0.250  0.747
Ni  0.816  0.750  0.247
Ni  0.900  0.750  0.481
Ni  0.932  0.505  0.690
Ni  0.932  0.995  0.690
Ni  0.942  0.250  0.902

***

No. 7
Entry from Alexandria: crystalline LiAgTe2 at its relaxed geometry (PBE).

Summary:
As for the uncorrected formation energy: -0.21 eV/atom. The space group is Pmmm (47). The calculation puts the density at 6.37 g cm⁻³. As for the calculated volume: 24.098 Å³ per atom.

Unit cell a=3.134 b=3.970 c=7.747 alpha=90.00 beta=90.00 gamma=90.00
Element x y z (fractional)
Li  0.000  0.000  0.000
Ag  0.000  0.000  0.500
Te  0.500  0.500  0.242
Te  0.500  0.500  0.758

***

No. 8
Entry from Alexandria: crystalline LiNb2Bi at its relaxed geometry (PBE).

Summary:
The space group is I-42d (122). For the formation energy, the calculation gives 0.44 eV per atom. The calculation puts the density at 8.17 g cm⁻³. As for the calculated volume: 20.410 Å³ per atom.

Unit cell a=11.009 b=11.009 c=11.009 alpha=159.52 beta=159.52 gamma=29.13
Element x y z (fractional)
Li  0.000  0.000  0.000
Li  0.750  0.250  0.500
Nb  0.129  0.625  0.004
Nb  0.375  0.379  0.504
Nb  0.621  0.125  0.996
Nb  0.875  0.871  0.496
Bi  0.250  0.750  0.500
Bi  0.500  0.500  0.000

***

No. 9
Entry from Alexandria: crystalline LaBeSb3 at its relaxed geometry (PBE).

Summary:
As for the uncorrected formation energy: 1.09 eV/atom. The space group is Pm-3m (221). The distance to the lowest polymorph of the same formula comes out at 1231 meV per atom. The calculation puts the density at 3.84 g cm⁻³. As for the calculated volume: 44.363 Å³ per atom.

Unit cell a=6.053 b=6.053 c=6.053 alpha=90.00 beta=90.00 gamma=90.00
Element x y z (fractional)
La  0.000  0.000  0.000
Be  0.500  0.500  0.500
Sb  0.000  0.000  0.500
Sb  0.000  0.500  0.000
Sb  0.500  0.000  0.000

***

No. 10
Entry from Alexandria: crystalline BaTlCd2Pd at its relaxed geometry (PBE).

Summary:
The space group is Imm2 (44). For the formation energy, the calculation gives -0.35 eV per atom. The distance to the lowest polymorph of the same formula comes out at 0 meV per atom. The calculation puts the density at 7.95 g cm⁻³. As for the calculated volume: 28.119 Å³ per atom.

Unit cell a=7.125 b=7.125 c=7.125 alpha=141.35 beta=141.16 gamma=55.96
Element x y z (fractional)
Ba  0.000  0.000  0.000
Tl  0.231  0.731  0.500
Cd  0.389  0.389  0.000
Cd  0.736  0.236  0.500
Pd  0.607  0.607  0.000

***

No. 11
Entry from Alexandria: crystalline LiRhAu at its relaxed geometry (PBE).

Summary:
The space group is Fmm2 (42). For the formation energy, the calculation gives -0.05 eV per atom. The distance to the lowest polymorph of the same formula comes out at 44 meV per atom. The calculation puts the density at 11.08 g cm⁻³. As for the calculated volume: 15.326 Å³ per atom.

Unit cell a=7.186 b=6.962 c=2.732 alpha=83.52 beta=74.29 gamma=22.19
Element x y z (fractional)
Li  0.000  0.000  0.000
Rh  0.345  0.345  0.655
Au  0.663  0.663  0.337

***

No. 12
Entry from Alexandria: crystalline Li2PaSO8 at its relaxed geometry (PBE).

Summary:
As for the uncorrected formation energy: -1.35 eV/atom. The space group is P-3m1 (164). The calculation puts the density at 5.49 g cm⁻³. As for the calculated volume: 10.214 Å³ per atom.

Unit cell a=4.920 b=4.920 c=5.846 alpha=90.00 beta=90.00 gamma=120.00
Element x y z (fractional)
Li  0.333  0.667  0.444
Li  0.667  0.333  0.556
Pa  0.000  0.000  0.000
S  0.000  0.000  0.500
O  0.155  0.310  0.669
O  0.155  0.845  0.669
O  0.310  0.155  0.331
O  0.333  0.667  0.046
O  0.667  0.333  0.954
O  0.690  0.845  0.669
O  0.845  0.155  0.331
O  0.845  0.690  0.331

***

No. 13
Entry from Alexandria: crystalline La2SmRh at its relaxed geometry (PBE).

Summary:
The space group is R-3m (166). For the formation energy, the calculation gives -0.16 eV per atom. The distance to the lowest polymorph of the same formula comes out at 291 meV per atom. The calculation puts the density at 6.49 g cm⁻³. As for the calculated volume: 33.961 Å³ per atom.

Unit cell a=10.835 b=10.835 c=10.835 alpha=20.45 beta=20.45 gamma=20.45
Element x y z (fractional)
La  0.111  0.111  0.111
La  0.889  0.889  0.889
Sm  0.000  0.000  0.000
Rh  0.500  0.500  0.500

***

No. 14
Entry from Alexandria: crystalline BiRh at its relaxed geometry (PBE).

Summary:
The space group is P2_1/m (11). For the formation energy, the calculation gives -0.09 eV per atom. The calculation puts the density at 9.81 g cm⁻³. As for the calculated volume: 26.389 Å³ per atom.

Unit cell a=3.954 b=4.205 c=6.349 alpha=90.00 beta=90.12 gamma=90.00
Element x y z (fractional)
Bi  0.249  0.250  0.224
Bi  0.751  0.750  0.776
Rh  0.250  0.750  0.491
Rh  0.750  0.250  0.509

***

No. 15
Entry from Alexandria: crystalline Sc2CrAu at its relaxed geometry (PBE).

Summary:
The space group is P4/mmm (123). For the formation energy, the calculation gives -0.26 eV per atom. The calculation puts the density at 7.49 g cm⁻³. As for the calculated volume: 18.783 Å³ per atom.

Unit cell a=3.394 b=3.394 c=6.524 alpha=90.00 beta=90.00 gamma=90.00
Element x y z (fractional)
Sc  0.000  0.000  0.241
Sc  0.000  0.000  0.759
Cr  0.500  0.500  0.000
Au  0.500  0.500  0.500

***

No. 16
Entry from Alexandria: crystalline ReHg3H at its relaxed geometry (PBE).

Summary:
The space group is Pm-3m (221). The distance to the lowest polymorph of the same formula comes out at 148 meV per atom. The calculation puts the density at 8.32 g cm⁻³. As for the calculated volume: 31.503 Å³ per atom.

Unit cell a=5.401 b=5.401 c=5.401 alpha=90.00 beta=90.00 gamma=90.00
Element x y z (fractional)
Re  0.000  0.000  0.000
Hg  0.000  0.000  0.500
Hg  0.000  0.500  0.000
Hg  0.500  0.000  0.000
H  0.500  0.500  0.500

***

No. 17
Entry from Alexandria: crystalline HfTiGa2 at its relaxed geometry (PBE).

Summary:
The space group is R-3m (166). For the formation energy, the calculation gives -0.24 eV per atom. The distance to the lowest polymorph of the same formula comes out at 194 meV per atom. The calculation puts the density at 8.37 g cm⁻³. As for the calculated volume: 18.147 Å³ per atom.

Unit cell a=9.206 b=9.206 c=9.206 alpha=19.04 beta=19.04 gamma=19.04
Element x y z (fractional)
Hf  0.000  0.000  0.000
Ti  0.500  0.500  0.500
Ga  0.246  0.246  0.246
Ga  0.754  0.754  0.754

***

No. 18
Entry from Alexandria: crystalline CdNi3N at its relaxed geometry (PBE).

Summary:
As for the uncorrected formation energy: 0.19 eV/atom. The space group is C2/m (12). The distance to the lowest polymorph of the same formula comes out at 255 meV per atom. The calculation puts the density at 7.33 g cm⁻³. As for the calculated volume: 13.704 Å³ per atom.

Unit cell a=6.813 b=6.813 c=6.322 alpha=112.97 beta=112.97 gamma=30.71
Element x y z (fractional)
Cd  0.120  0.120  0.239
Cd  0.880  0.880  0.761
Ni  0.213  0.213  0.864
Ni  0.403  0.403  0.484
Ni  0.449  0.449  0.125
Ni  0.551  0.551  0.875
Ni  0.597  0.597  0.516
Ni  0.787  0.787  0.136
N  0.324  0.324  0.184
N  0.676  0.676  0.816

***

No. 19
Entry from Alexandria: crystalline Pa4Ge3Sb at its relaxed geometry (PBE).

Summary:
As for the uncorrected formation energy: -0.38 eV/atom. The space group is P4/mmm (123). The calculation puts the density at 11.44 g cm⁻³. As for the calculated volume: 22.937 Å³ per atom.

Unit cell a=7.607 b=7.607 c=3.171 alpha=90.00 beta=90.00 gamma=90.00
Element x y z (fractional)
Pa  0.241  0.241  0.000
Pa  0.241  0.759  0.000
Pa  0.759  0.241  0.000
Pa  0.759  0.759  0.000
Ge  0.000  0.000  0.500
Ge  0.000  0.500  0.500
Ge  0.500  0.000  0.500
Sb  0.500  0.500  0.500

***

No. 20
Entry from Alexandria: crystalline LaPuRu4 at its relaxed geometry (PBE).

Summary:
The space group is F-43m (216). For the formation energy, the calculation gives -0.12 eV per atom. The calculation puts the density at 11.84 g cm⁻³. As for the calculated volume: 18.402 Å³ per atom.

Unit cell a=5.385 b=5.385 c=5.385 alpha=60.00 beta=60.00 gamma=60.00
Element x y z (fractional)
La  0.000  0.000  0.000
Pu  0.250  0.250  0.250
Ru  0.127  0.624  0.624
Ru  0.624  0.127  0.624
Ru  0.624  0.624  0.127
Ru  0.624  0.624  0.624

***

No. 21
Entry from Alexandria: crystalline LiLa2Sc at its relaxed geometry (PBE).

Summary:
The space group is Cm (8). For the formation energy, the calculation gives 0.09 eV per atom. The distance to the lowest polymorph of the same formula comes out at 1 meV per atom. The calculation puts the density at 4.68 g cm⁻³. As for the calculated volume: 29.272 Å³ per atom.

Unit cell a=6.544 b=6.544 c=5.606 alpha=115.24 beta=115.24 gamma=33.00
Element x y z (fractional)
Li  0.000  0.000  0.000
La  0.518  0.518  0.518
La  0.744  0.744  0.241
Sc  0.289  0.289  0.786

***

No. 22
Entry from Alexandria: crystalline CaTlGa2 at its relaxed geometry (PBE).

Summary:
The space group is P4/mmm (123). For the formation energy, the calculation gives -0.24 eV per atom. The calculation puts the density at 6.78 g cm⁻³. As for the calculated volume: 23.493 Å³ per atom.

Unit cell a=4.568 b=4.568 c=4.503 alpha=90.00 beta=90.00 gamma=90.00
Element x y z (fractional)
Ca  0.000  0.000  0.000
Tl  0.500  0.500  0.000
Ga  0.000  0.500  0.500
Ga  0.500  0.000  0.500

***

No. 23
Entry from Alexandria: crystalline Cs4O2F at its relaxed geometry (PBE).

Summary:
As for the uncorrected formation energy: -1.38 eV/atom. The space group is C2/m (12). The calculation puts the density at 4.23 g cm⁻³. As for the calculated volume: 32.700 Å³ per atom.

Unit cell a=8.117 b=8.117 c=7.492 alpha=115.55 beta=115.55 gamma=31.24
Element x y z (fractional)
Cs  0.132  0.132  0.453
Cs  0.356  0.356  0.991
Cs  0.644  0.644  0.009
Cs  0.868  0.868  0.547
O  0.276  0.276  0.287
O  0.724  0.724  0.713
F  0.000  0.000  0.000

***

No. 24
Entry from Alexandria: crystalline CdMo3Br at its relaxed geometry (PBE).

Summary:
As for the uncorrected formation energy: 1.44 eV/atom. The space group is Pm-3m (221). The distance to the lowest polymorph of the same formula comes out at 0 meV per atom. The calculation puts the density at 8.02 g cm⁻³. As for the calculated volume: 19.872 Å³ per atom.

Unit cell a=4.632 b=4.632 c=4.632 alpha=90.00 beta=90.00 gamma=90.00
Element x y z (fractional)
Cd  0.000  0.000  0.000
Mo  0.000  0.500  0.500
Mo  0.500  0.000  0.500
Mo  0.500  0.500  0.000
Br  0.500  0.500  0.500

***

No. 25
Entry from Alexandria: crystalline TaBeIn2 at its relaxed geometry (PBE).

Summary:
The space group is F-43m (216). For the formation energy, the calculation gives 0.82 eV per atom. The calculation puts the density at 9.20 g cm⁻³. As for the calculated volume: 18.942 Å³ per atom.

Unit cell a=4.750 b=4.750 c=4.750 alpha=60.00 beta=60.00 gamma=60.00
Element x y z (fractional)
Ta  0.000  0.000  0.000
Be  0.750  0.750  0.750
In  0.250  0.250  0.250
In  0.500  0.500  0.500

***

No. 26
Entry from Alexandria: crystalline CsOsW3 at its relaxed geometry (PBE).

Summary:
The space group is Pm-3m (221). For the formation energy, the calculation gives 4.38 eV per atom. The distance to the lowest polymorph of the same formula comes out at 2102 meV per atom. The calculation puts the density at 13.08 g cm⁻³. As for the calculated volume: 22.205 Å³ per atom.

Unit cell a=4.806 b=4.806 c=4.806 alpha=90.00 beta=90.00 gamma=90.00
Element x y z (fractional)
Cs  0.000  0.000  0.000
Os  0.500  0.500  0.500
W  0.000  0.000  0.500
W  0.000  0.500  0.000
W  0.500  0.000  0.000